Compound: GaCoAs2
Source: Alexandria
Functional: PBEsol
Structure: optimized geometry Values from VASP.

Structure (Quantum ESPRESSO input):
```
&SYSTEM
  ibrav = 0, nat = 8, ntyp = 3
/
ATOMIC_SPECIES
Ga 69.72 Ga.upf
Co 58.93 Co.upf
As 74.92 As.upf
CELL_PARAMETERS angstrom
-2.725 2.725 5.381
2.725 -2.725 5.381
2.725 2.725 -5.381
ATOMIC_POSITIONS crystal
Ga 0.000 0.000 0.000
Ga 0.750 0.250 0.500
Co 0.250 0.750 0.500
Co 0.500 0.500 0.000
As 0.167 0.625 0.042
As 0.375 0.417 0.542
As 0.583 0.125 0.958
As 0.875 0.833 0.458
```

Summary:
Magnetic moment in μB per formula unit: 0.001
VASP energy in eV for the cell shown: -42.6
E_form in eV/atom: 0.0036